Record 1
! PBE-GGA AcLa2Pr6, optimized geometry; values from VASP
! E_form in meV/atom: 38
! Total magnetic moment in μB per cell: 0.00
! Crystal system: monoclinic
! Offset from the most stable computed form in eV per atom: 0.000
&SYSTEM
  ibrav = 0, nat = 9, ntyp = 3
/
ATOMIC_SPECIES
Ac 227.00 Ac.upf
La 138.91 La.upf
Pr 140.91 Pr.upf
CELL_PARAMETERS angstrom
8.895 -5.120 0.000
8.895 5.120 0.000
-0.004 0.000 3.682
ATOMIC_POSITIONS angstrom
Ac 0.000 0.000 0.000
La 5.931 0.000 0.000
La 11.854 0.000 3.682
Pr 5.909 3.395 1.841
Pr 8.892 1.696 1.841
Pr 11.876 3.395 1.841
Pr 5.909 -3.395 1.841
Pr 8.892 -1.696 1.841
Pr 11.876 -3.395 1.841

---

Record 2
! PBE-GGA Li6AlHg5, optimized geometry; values from VASP
! E_form in meV/atom: -317
! Total magnetic moment in μB per cell: 0.00
! Crystal system: monoclinic
&SYSTEM
  ibrav = 0, nat = 12, ntyp = 3
/
ATOMIC_SPECIES
Li 6.94 Li.upf
Al 26.98 Al.upf
Hg 200.59 Hg.upf
CELL_PARAMETERS angstrom
7.291 -3.323 0.000
7.291 3.323 0.000
-1.382 0.000 4.447
ATOMIC_POSITIONS angstrom
Li 4.371 1.682 1.473
Li 7.291 1.713 0.000
Li 8.829 1.682 2.974
Li 4.371 -1.682 1.473
Li 7.291 -1.713 0.000
Li 8.829 -1.682 2.974
Al 6.600 0.000 2.223
Hg -0.691 0.000 2.223
Hg 2.219 0.000 0.742
Hg 3.858 0.000 3.747
Hg 9.343 0.000 0.700
Hg 10.982 0.000 3.705